Entry 1:
Compound: Tm5HfCu4
Source: Alexandria via LeMat-Bulk
Functional: PBE-GGA
Structure: optimized geometry

The space group is P4/mmm (No. 123) and the conventional cell measures 3.3789, 3.3789 and 18.4363 Å, with angles of 90.00, 90.00 and 90.00 degrees. The distinct sites, in fractional coordinates, are Tm at (0.0000, 0.0000, 0.0000), Tm at (0.0000, 0.0000, 0.1883), Tm at (0.0000, 0.0000, 0.3764), Hf at (0.5000, 0.5000, 0.5000), Cu at (0.5000, 0.5000, 0.0937) and Cu at (0.5000, 0.5000, 0.2811).

For the formation energy, the calculation gives -0.20 eV per atom.



Entry 2:
Compound: AcLa2CeSe4
Source: Alexandria via LeMat-Bulk
Functional: PBE-GGA
Structure: optimized geometry

The space group is P2/m (No. 10) and the conventional cell measures 7.5117, 4.3160 and 7.5184 Å, with angles of 90.00, 109.30 and 90.00 degrees. The distinct sites, in fractional coordinates, are Ac at (0.0000, 0.0000, 0.0000), La at (0.5000, 0.0000, 0.5000), La at (0.5000, 0.5000, 0.0000), Ce at (0.0000, 0.5000, 0.5000), Se at (0.2487, 0.0000, 0.7423) and Se at (0.2543, 0.5000, 0.2591).



Number 1: density 10.08 g/cm3, uncorrected energy -5.072 eV/atom. Number 2: density 6.94 g/cm3, uncorrected energy -6.140 eV/atom.